RbCdCuS2: relaxed, PBE.

Computed properties:
* total DFT energy (no corrections): -2.3178 eV per atom
* formation energy without anion corrections: 0.53 eV/atom
* crystal system: tetragonal

Cell lengths 5.0167, 6.3912, 5.0167 Å; angles 90.00, 90.00, 90.00 degrees
Last column: magnetic moment on the atom in μB.
Fractional coordinates of all 5 atoms:
S  0.0000  0.0000  0.5000  0.01
S  0.5000  0.0000  0.0000  0.01
Cu  0.5000  0.5000  0.5000  0.12
Rb  0.0000  0.5000  0.0000  0.01
Cd  0.0000  0.0000  0.0000  0.00